1.
First-principles (PBE) data for a relaxed SbPCl2 crystal, as listed in Alexandria.

abc: 9.402 9.402 9.402
angles: 19.95 19.95 19.95
Element x y z (fractional)
Cl 0.502 0.502 0.502
Sb 0.750 0.750 0.750
Cl 0.998 0.998 0.998
P 0.250 0.250 0.250

Output
Space group: R-3m (166)
Energy relative to the lowest polymorph listed for this composition in eV/atom: 0.791

2.
First-principles (PBE) data for a relaxed SbPCl2 crystal, as listed in Alexandria.

abc: 4.293 4.293 4.551
angles: 90.00 90.00 90.00
Element x y z (fractional)
Sb 0.000 0.500 0.500
P 0.500 0.000 0.500
Cl 0.000 0.000 0.000
Cl 0.500 0.500 0.000

Output
Space group: P4/mmm (123)
Energy relative to the lowest polymorph listed for this composition in eV/atom: 0.779

3.
First-principles (PBE) data for a relaxed SbPCl2 crystal, as listed in Alexandria.

abc: 7.554 7.554 7.554
angles: 152.22 145.64 44.74
Element x y z (fractional)
Cl 0.966 0.966 0.000
P 0.461 0.461 0.000
Sb 0.325 0.825 0.500
Cl 0.748 0.248 0.500

Output
Space group: Imm2 (44)
Energy relative to the lowest polymorph listed for this composition in eV/atom: 0.388

4.
First-principles (PBE) data for a relaxed SbPCl crystal, as listed in Alexandria.

abc: 3.823 3.823 6.335
angles: 90.00 90.00 120.00
Element x y z (fractional)
Sb 0.333 0.667 0.635
Cl 0.000 0.000 0.946
P 0.667 0.333 0.419

Output
Space group: P3m1 (156)
Energy relative to the lowest polymorph listed for this composition in eV/atom: 0.028

5.
First-principles (PBE) data for a relaxed SbPCl8 crystal, as listed in Alexandria.

abc: 7.845 7.845 27.683
angles: 90.00 90.00 90.00
Element x y z (fractional)
Cl 0.036 0.819 0.823
Cl 0.070 0.997 0.926
P 0.173 0.198 0.132
Cl 0.819 0.964 0.573
P 0.802 0.173 0.382
Cl 0.461 0.375 0.301
Cl 0.672 0.407 0.938
Cl 0.930 0.003 0.426
Cl 0.539 0.625 0.801
Cl 0.669 0.130 0.802
Cl 0.407 0.328 0.688
Cl 0.402 0.138 0.165
Cl 0.870 0.669 0.052
Cl 0.200 0.577 0.225
Cl 0.276 0.290 0.801
Cl 0.598 0.862 0.665
Cl 0.625 0.461 0.551
Cl 0.724 0.710 0.301
Cl 0.290 0.724 0.551
Sb 0.642 0.538 0.013
Cl 0.593 0.672 0.188
Cl 0.003 0.070 0.176
Cl 0.577 0.800 0.975
Cl 0.964 0.181 0.323
Sb 0.538 0.358 0.763
Cl 0.862 0.402 0.415
Cl 0.181 0.036 0.073
Cl 0.997 0.930 0.676
Sb 0.358 0.462 0.513
Cl 0.138 0.598 0.915
Cl 0.710 0.276 0.051
Cl 0.800 0.423 0.725
Cl 0.423 0.200 0.475
Cl 0.375 0.539 0.051
Cl 0.328 0.593 0.438
P 0.198 0.827 0.882
Cl 0.331 0.870 0.302
Sb 0.462 0.642 0.263
Cl 0.130 0.331 0.552
P 0.827 0.802 0.632

Output
Space group: P4_1 (76)
Raw total energy in eV/atom: -3.097

6.
First-principles (PBE) data for a relaxed SbPCl6 crystal, as listed in Alexandria.

abc: 6.532 6.532 12.612
angles: 90.00 90.00 90.00
Element x y z (fractional)
Cl 0.175 0.247 0.843
Cl 0.247 0.825 0.657
Sb 0.500 0.000 0.500
Cl 0.247 0.825 0.343
Cl 0.753 0.175 0.343
Cl 0.753 0.175 0.657
Cl 0.728 0.690 0.500
Cl 0.690 0.272 0.000
Cl 0.310 0.728 0.000
P 0.000 0.000 0.250
P 0.000 0.000 0.750
Cl 0.272 0.310 0.500
Sb 0.000 0.500 0.000
Cl 0.175 0.247 0.157
Cl 0.825 0.753 0.157
Cl 0.825 0.753 0.843

Output
Space group: P4_2/m (84)
Raw total energy in eV/atom: -3.049

7.
First-principles (PBE) data for a relaxed SbPCl2 crystal, as listed in Alexandria.

abc: 4.937 4.937 4.937
angles: 60.00 60.00 60.00
Site moments in Bohr magnetons follow the coordinates.
Element x y z (fractional)
Sb 0.500 0.500 0.500  -0.01
Cl 0.250 0.250 0.250  0.07
Cl 0.750 0.750 0.750  0.07
P 0.000 0.000 0.000  0.30

Output
Space group: Fm-3m (225)
Energy relative to the lowest polymorph listed for this composition in eV/atom: 0.938

8.
First-principles (PBE) data for a relaxed SbPCl crystal, as listed in Alexandria.

abc: 4.734 4.734 4.734
angles: 60.00 60.00 60.00
Element x y z (fractional)
P 0.500 0.500 0.500
Cl 0.000 0.000 0.000
Sb 0.250 0.250 0.250

Output
Space group: F-43m (216)
Energy relative to the lowest polymorph listed for this composition in eV/atom: 0.291

no.,size of the total moment (μB per cell)
1,0.000
2,0.000
3,0.000
4,0.000
5,0.000
6,0.000
7,0.776
8,0.000